No. 1
An optimized crystal structure of Li3InF6. Source: Alexandria, functional PBE-GGA.

POSCAR file:
```
Li3InF6
1.0
0.000 4.043 4.043
4.043 0.000 4.043
4.043 4.043 0.000
Li In F
3 1 6
direct
0.000 0.000 0.000
0.250 0.250 0.250
0.750 0.750 0.750
0.500 0.500 0.500
0.244 0.244 0.756
0.244 0.756 0.244
0.244 0.756 0.756
0.756 0.244 0.244
0.756 0.244 0.756
0.756 0.756 0.244
```

- Energy relative to the elements, uncorrected: -2.53 eV per atom
- Relative energy among the computed polymorphs: 229 meV per atom


No. 2
An optimized crystal structure of Pm6Tm5. Source: Alexandria, functional PBE-GGA.

POSCAR file:
```
Pm6Tm5
1.0
5.085 -6.631 0.000
5.085 6.631 0.000
-2.642 0.000 5.407
Pm Tm
6 5
direct
0.046 0.327 0.618
0.185 0.185 0.100
0.327 0.046 0.618
0.673 0.954 0.382
0.815 0.815 0.900
0.954 0.673 0.382
0.233 0.767 0.000
0.371 0.629 0.500
0.500 0.500 0.000
0.629 0.371 0.500
0.767 0.233 0.000
```

- ΔE_f: 1.4 eV/f.u.


No. 3
An optimized crystal structure of BeNi2W. Source: Alexandria, functional PBE-GGA.

POSCAR file:
```
BeNi2W
1.0
2.682 0.000 0.000
0.000 4.168 0.000
0.000 0.000 4.204
Be Ni W
1 2 1
direct
0.000 0.000 0.000
0.000 0.500 0.500
0.500 0.000 0.500
0.500 0.500 0.000
```

- ΔE_f: 0.6 eV/f.u.


No. 4
An optimized crystal structure of HfMnTl3. Source: Alexandria, functional PBE-GGA.

POSCAR file:
```
HfMnTl3
1.0
5.045 0.000 0.000
0.000 5.045 0.000
0.000 0.000 5.045
Hf Mn Tl
1 1 3
direct
0.000 0.000 0.000
0.500 0.500 0.500
0.000 0.500 0.500
0.500 0.000 0.500
0.500 0.500 0.000
```

- ΔE_f: 5.0 eV/f.u.
- Relative energy among the computed polymorphs: 3 meV per atom


No. 5
An optimized crystal structure of Zn4CoPd3. Source: Alexandria, functional PBE-GGA.

POSCAR file:
```
Zn4CoPd3
1.0
2.924 0.000 0.000
0.000 2.924 0.000
0.000 0.000 12.904
Zn Co Pd
4 1 3
direct
0.000 0.000 0.108
0.000 0.000 0.369
0.000 0.000 0.631
0.000 0.000 0.892
0.500 0.500 0.000
0.500 0.500 0.239
0.500 0.500 0.500
0.500 0.500 0.761
```

- ΔE_f: -3.2 eV/f.u.


No. 6
An optimized crystal structure of K4AgF5. Source: Alexandria, functional PBE-GGA.

POSCAR file:
```
K4AgF5
1.0
-4.203 4.203 2.677
4.203 -4.203 2.677
4.203 4.203 -2.677
K Ag F
4 1 5
direct
0.100 0.296 0.396
0.296 0.900 0.196
0.704 0.100 0.804
0.900 0.704 0.604
0.500 0.500 0.000
0.000 0.000 0.000
0.211 0.593 0.804
0.407 0.211 0.617
0.593 0.789 0.383
0.789 0.407 0.196
```

- Energy relative to the elements, uncorrected: -2.37 eV per atom


No. 7
An optimized crystal structure of BaV3Ge. Source: Alexandria, functional PBE-GGA.

POSCAR file:
```
BaV3Ge
1.0
4.998 0.000 0.000
0.000 4.998 0.000
0.000 0.000 4.998
Ba V Ge
1 3 1
direct
0.000 0.000 0.000
0.000 0.500 0.500
0.500 0.000 0.500
0.500 0.500 0.000
0.500 0.500 0.500
```

- ΔE_f: 4.2 eV/f.u.
- Relative energy among the computed polymorphs: 0 meV per atom


No. 8
An optimized crystal structure of ScMoW2. Source: Alexandria, functional PBE-GGA.

POSCAR file:
```
ScMoW2
1.0
1.624 -2.273 0.000
1.624 2.273 0.000
0.000 0.000 9.240
Sc Mo W
1 1 2
direct
0.000 0.000 0.000
0.500 0.500 0.262
0.000 0.000 0.498
0.500 0.500 0.736
```

- ΔE_f: 0.5 eV/f.u.
- Relative energy among the computed polymorphs: 37 meV per atom


Per-record DOS(E_F), states/eV/atom: 0.000; 1.615; 1.094; 1.750; 0.457; 0.000; 0.871; 0.867
Per-record total magnetic moment, μB/cell: 0.0; 0.0; 0.0; 0.0; 0.0; 0.0; 10.3; 0.0